Entry 1:
Compound: SrMgZnAu
Source: the Alexandria database
Functional: PBE-GGA
Structure: relaxed

a b c (Å): 7.257 7.257 7.257
angles (deg): 90.00 90.00 90.00
Space group F-43m (No. 216)
Asymmetric unit:
Sr (0.000, 0.000, 0.000) x4
Mg (0.000, 0.000, 0.500) x4
Zn (0.250, 0.250, 0.250) x4
Au (0.250, 0.250, 0.750) x4

Theoretical density (g/cm3): 6.5
Density of states at the Fermi level (states/eV per atom): 0.81
Total DFT energy (no corrections) (eV per atom): -2.307
Energy relative to the elements (meV/atom): -350



Entry 2:
Compound: Sr2MgZnAu2
Source: the Alexandria database
Functional: PBE-GGA
Structure: relaxed

a b c (Å): 6.381 15.219 6.481
angles (deg): 90.00 90.00 90.00
Space group Ibam (No. 72)
Asymmetric unit:
Sr (0.242, 0.171, 0.000) x8
Mg (0.000, 0.500, 0.250) x4
Zn (0.000, 0.000, 0.250) x4
Au (0.248, 0.106, 0.500) x8

Theoretical density (g/cm3): 7.0
Density of states at the Fermi level (states/eV per atom): 0.56
Total DFT energy (no corrections) (eV per atom): -2.708
Energy relative to the elements (meV/atom): -576



Entry 3:
Compound: MgTaAu2
Source: the Alexandria database
Functional: PBE-GGA
Structure: relaxed

a b c (Å): 9.029 2.853 5.810
angles (deg): 90.00 97.87 90.00
Space group C2/m (No. 12)
Asymmetric unit:
Mg (0.000, 0.000, 0.000) x2
Ta (0.000, 0.500, 0.500) x2
Au (0.249, 0.500, 0.257) x4

Theoretical density (g/cm3): 13.4
Density of states at the Fermi level (states/eV per atom): 0.51
Total DFT energy (no corrections) (eV per atom): -5.033
Energy relative to the elements (meV/atom): -33



Entry 4:
Compound: MgTaAu2
Source: the Alexandria database
Functional: PBE-GGA
Structure: relaxed

a b c (Å): 2.955 4.204 5.860
angles (deg): 90.00 90.00 90.00
Space group Pmm2 (No. 25)
Asymmetric unit:
Mg (0.000, 0.000, 0.000) x1
Ta (0.500, 0.500, 0.307) x1
Au (0.000, 0.000, 0.506) x1
Au (0.500, 0.500, 0.813) x1

Theoretical density (g/cm3): 13.7
Density of states at the Fermi level (states/eV per atom): 0.67
Total DFT energy (no corrections) (eV per atom): -5.058
Energy relative to the elements (meV/atom): -57